Entry 1:
A plane-wave DFT calculation with PBE was carried out for a relaxed structure of Sr2PrPuSe4.

The total energy is -6.381 eV/atom. As for the formation energy (no corrections): -1.829 eV/atom. For the calculated density, the calculation gives 6.4 Mg/m³. The space group is P2/m. As for the total magnetic moment: 5.994 μB/cell.

Cell and atoms, written as extended XYZ:
```
8
Lattice="-3.278 -2.488 1.256 4.504 -5.932 0.007 0.150 3.249 6.829" Properties=species:S:1:pos:R:3 pbc="T T T"
Se 1.241 0.982 5.186
Se -0.512 -1.910 2.251
Se 3.413 -3.665 1.649
Se 1.888 -3.260 5.840
Pr 0.613 -4.210 0.631
Pu 0.000 0.000 0.000
Sr 2.327 -1.341 3.418
Sr -1.564 0.381 4.042
```

Entry 2:
A plane-wave DFT calculation with PBE was carried out for a relaxed structure of SrPrPu2Se4.

The total energy is -7.845 eV/atom. As for the formation energy (no corrections): -1.712 eV/atom. For the calculated density, the calculation gives 7.9 Mg/m³. The space group is P2/m. As for the total magnetic moment: 11.631 μB/cell.

Cell and atoms, written as extended XYZ:
```
8
Lattice="-2.678 -1.529 -2.902 -0.977 -6.044 4.086 -5.630 1.071 4.631" Properties=species:S:1:pos:R:3 pbc="T T T"
Pr -1.827 -3.787 0.592
Pu -4.154 -0.229 0.864
Pu -5.630 1.071 4.631
Sr -3.304 -2.487 4.358
Se -5.834 -1.388 3.025
Se -4.327 -2.703 -0.762
Se -4.958 -3.800 6.577
Se -3.452 -5.114 2.790
```